1.
## AlSiPdRu (PBE-GGA)

Data for AlSiPdRu after structural relaxation.

Calculated values
Formation energy without anion corrections   -544 meV/atom
Raw total energy   -6.453 eV/atom
Mass density   7.96 Mg/m³

a = 6.0272 Å, b = 6.0272 Å, c = 6.0272 Å
α = 90.00°, β = 90.00°, γ = 90.00°
Space group F-43m (No. 216)
Asymmetric unit:
Al: 0.0000 0.0000 0.0000 x4
Si: 0.0000 0.0000 0.5000 x4
Pd: 0.2500 0.2500 0.2500 x4
Ru: 0.2500 0.2500 0.7500 x4


2.
## Sm2Al5PdRu2 (PBE-GGA)

Data for Sm2Al5PdRu2 after structural relaxation.

Calculated values
ΔE_f   -0.511 eV per atom
Raw total energy   -5.700 eV/atom
Mass density   6.81 Mg/m³

a = 10.7455 Å, b = 10.7455 Å, c = 3.1413 Å
α = 90.00°, β = 90.00°, γ = 90.00°
Space group P4/mbm (No. 127)
Asymmetric unit:
Sm: 0.1862 0.3138 0.0000 x4
Al: 0.0000 0.5000 0.5000 x2
Al: 0.0511 0.8047 0.5000 x8
Pd: 0.0000 0.0000 0.0000 x2
Ru: 0.1269 0.6269 0.0000 x4


3.
## SrAl2PdRu (PBE-GGA)

Data for SrAl2PdRu after structural relaxation.

Calculated values
ΔE_f   0.149 eV per atom
Raw total energy   -4.578 eV/atom
Mass density   4.75 Mg/m³

a = 4.6892 Å, b = 4.6892 Å, c = 5.5511 Å
α = 90.00°, β = 90.00°, γ = 90.00°
Space group P4/mmm (No. 123)
Asymmetric unit:
Sr: 0.0000 0.0000 0.0000 x1
Al: 0.0000 0.5000 0.5000 x2
Pd: 0.5000 0.5000 0.0000 x1
Ru: 0.0000 0.0000 0.5000 x1


4.
## TbAlPdRu (PBE-GGA)

Data for TbAlPdRu after structural relaxation.

Calculated values
ΔE_f   -0.609 eV per atom
Raw total energy   -6.320 eV/atom
Mass density   9.41 Mg/m³

a = 6.5246 Å, b = 6.5246 Å, c = 6.5246 Å
α = 90.00°, β = 90.00°, γ = 90.00°
Space group F-43m (No. 216)
Asymmetric unit:
Tb: 0.0000 0.0000 0.0000 x4
Al: 0.0000 0.0000 0.5000 x4
Pd: 0.2500 0.2500 0.2500 x4
Ru: 0.2500 0.2500 0.7500 x4


5.
## Tb2Al5PdRu2 (PBE-GGA)

Data for Tb2Al5PdRu2 after structural relaxation.

Calculated values
ΔE_f   -0.532 eV per atom
Raw total energy   -5.704 eV/atom
Mass density   7.09 Mg/m³

a = 10.6496 Å, b = 10.6496 Å, c = 3.1463 Å
α = 90.00°, β = 90.00°, γ = 90.00°
Space group P4/mbm (No. 127)
Asymmetric unit:
Tb: 0.1870 0.3130 0.0000 x4
Al: 0.0000 0.5000 0.5000 x2
Al: 0.0508 0.8047 0.5000 x8
Pd: 0.0000 0.0000 0.0000 x2
Ru: 0.1271 0.6271 0.0000 x4


6.
## TiAlPdRu (PBE-GGA)

Data for TiAlPdRu after structural relaxation.

Calculated values
ΔE_f   -0.760 eV per atom
Raw total energy   -7.287 eV/atom
Mass density   7.99 Mg/m³

a = 3.1414 Å, b = 3.1414 Å, c = 5.9438 Å
α = 90.00°, β = 90.00°, γ = 90.00°
Space group P4mm (No. 99)
Asymmetric unit:
Ti: 0.0000 0.0000 0.0000 x1
Al: 0.0000 0.0000 0.4869 x1
Pd: 0.5000 0.5000 0.7290 x1
Ru: 0.5000 0.5000 0.2329 x1


7.
## Zr2Al5PdRu2 (PBE-GGA)

Data for Zr2Al5PdRu2 after structural relaxation.

Calculated values
ΔE_f   -0.522 eV per atom
Raw total energy   -6.477 eV/atom
Mass density   6.19 Mg/m³

a = 10.4603 Å, b = 10.4603 Å, c = 3.0671 Å
α = 90.00°, β = 90.00°, γ = 90.00°
Space group P4/mbm (No. 127)
Asymmetric unit:
Zr: 0.1877 0.3123 0.0000 x4
Al: 0.0000 0.5000 0.5000 x2
Al: 0.0447 0.8021 0.5000 x8
Pd: 0.0000 0.0000 0.0000 x2
Ru: 0.1314 0.6314 0.0000 x4


8.
## Al2Pd8S (PBE-GGA)

Data for Al2Pd8S after structural relaxation.

Calculated values
Formation energy without anion corrections   -507 meV/atom
Raw total energy   -5.340 eV/atom
Mass density   9.33 Mg/m³

a = 14.9581 Å, b = 4.2157 Å, c = 5.5442 Å
α = 90.00°, β = 107.47°, γ = 90.00°
Space group C2/m (No. 12)
Asymmetric unit:
Al: 0.1838 0.0000 0.2145 x4
Pd: 0.0234 0.0000 0.2696 x4
Pd: 0.0991 0.5000 0.9324 x4
Pd: 0.1536 0.5000 0.4543 x4
Pd: 0.2076 0.0000 0.7940 x4
S: 0.0000 0.5000 0.5000 x2


9.
## AlPdS2 (PBE-GGA)

Data for AlPdS2 after structural relaxation.

Calculated values
Formation energy without anion corrections   -607 meV/atom
Raw total energy   -4.904 eV/atom
Mass density   4.11 Mg/m³

a = 5.5234 Å, b = 5.5234 Å, c = 10.4628 Å
α = 90.00°, β = 90.00°, γ = 90.00°
Space group I-42d (No. 122)
Asymmetric unit:
Al: 0.0000 0.0000 0.0000 x4
Pd: 0.0000 0.0000 0.5000 x4
S: 0.2283 0.2500 0.1250 x8


10.
## AlPdS6 (PBE-GGA)

Data for AlPdS6 after structural relaxation.

Calculated values
Formation energy without anion corrections   -241 meV/atom
Raw total energy   -4.454 eV/atom
Mass density   2.91 Mg/m³

a = 3.5838 Å, b = 6.8769 Å, c = 7.7209 Å
α = 87.18°, β = 78.63°, γ = 86.93°
Space group P-1 (No. 2)
Asymmetric unit:
Al: 0.0000 0.0000 0.0000 x1
Pd: 0.5000 0.5000 0.0000 x1
S: 0.1689 0.8473 0.7054 x2
S: 0.4259 0.3591 0.2843 x2
S: 0.4668 0.8067 0.1262 x2


11.
## Al2PdSeS (PBE-GGA)

Data for Al2PdSeS after structural relaxation.

Calculated values
Formation energy without anion corrections   423 meV/atom
Raw total energy   -3.635 eV/atom
Mass density   4.38 Mg/m³

a = 4.6570 Å, b = 4.6570 Å, c = 4.7477 Å
α = 90.00°, β = 90.00°, γ = 90.00°
Space group P4/mmm (No. 123)
Asymmetric unit:
Al: 0.0000 0.5000 0.0000 x2
Pd: 0.0000 0.0000 0.5000 x1
Se: 0.5000 0.5000 0.5000 x1
S: 0.5000 0.5000 0.0000 x1


12.
## AlTcPdS2 (PBE-GGA)

Data for AlTcPdS2 after structural relaxation.

Calculated values
Formation energy without anion corrections   854 meV/atom
Raw total energy   -4.657 eV/atom
Mass density   4.94 Mg/m³

a = 4.4584 Å, b = 4.4584 Å, c = 4.9980 Å
α = 90.00°, β = 90.00°, γ = 90.00°
Space group P4/mmm (No. 123)
Asymmetric unit:
Al: 0.0000 0.0000 0.0000 x1
Tc: 0.0000 0.0000 0.5000 x1
Pd: 0.5000 0.5000 0.5000 x1
S: 0.0000 0.5000 0.0000 x2


13.
## Al2PdWS (PBE-GGA)

Data for Al2PdWS after structural relaxation.

Calculated values
Formation energy without anion corrections   865 meV/atom
Raw total energy   -5.086 eV/atom
Mass density   5.83 Mg/m³

a = 4.5822 Å, b = 4.5822 Å, c = 5.1047 Å
α = 90.00°, β = 90.00°, γ = 90.00°
Space group P4/mmm (No. 123)
Asymmetric unit:
Al: 0.0000 0.5000 0.0000 x2
Pd: 0.0000 0.0000 0.0000 x1
W: 0.0000 0.0000 0.5000 x1
S: 0.5000 0.5000 0.5000 x1


14.
## Al2ZnPdS (PBE-GGA)

Data for Al2ZnPdS after structural relaxation.

Calculated values
Formation energy without anion corrections   291 meV/atom
Raw total energy   -3.325 eV/atom
Mass density   4.19 Mg/m³

a = 4.7398 Å, b = 4.7398 Å, c = 4.5515 Å
α = 90.00°, β = 90.00°, γ = 90.00°
Space group P4/mmm (No. 123)
Asymmetric unit:
Al: 0.0000 0.5000 0.0000 x2
Zn: 0.0000 0.0000 0.5000 x1
Pd: 0.5000 0.5000 0.5000 x1
S: 0.5000 0.5000 0.0000 x1


15.
## Al2SbPd2 (PBE-GGA)

Data for Al2SbPd2 after structural relaxation.

Calculated values
Formation energy without anion corrections   -493 meV/atom
Raw total energy   -4.892 eV/atom
Mass density   7.11 Mg/m³
Distance to the lowest polymorph of the same formula   0.0331 eV/atom

a = 3.8503 Å, b = 3.8503 Å, c = 12.2387 Å
α = 90.00°, β = 90.00°, γ = 90.00°
Space group I4/mmm (No. 139)
Asymmetric unit:
Al: 0.0000 0.5000 0.2500 x4
Sb: 0.0000 0.0000 0.0000 x2
Pd: 0.0000 0.0000 0.3839 x4


16.
## Al2SbPd8 (PBE-GGA)

Data for Al2SbPd8 after structural relaxation.

Calculated values
Formation energy without anion corrections   -587 meV/atom
Raw total energy   -5.419 eV/atom
Mass density   9.86 Mg/m³
Distance to the lowest polymorph of the same formula   0.0000 eV/atom

a = 14.2192 Å, b = 4.1127 Å, c = 6.2359 Å
α = 90.00°, β = 108.37°, γ = 90.00°
Space group C2/m (No. 12)
Asymmetric unit:
Al: 0.2020 0.0000 0.1723 x4
Sb: 0.0000 0.5000 0.5000 x2
Pd: 0.0348 0.0000 0.2457 x4
Pd: 0.1002 0.5000 0.9696 x4
Pd: 0.1754 0.0000 0.7570 x4
Pd: 0.1754 0.5000 0.4398 x4


17.
## AlSbPd (PBE-GGA)

Data for AlSbPd after structural relaxation.

Calculated values
Formation energy without anion corrections   -292 meV/atom
Raw total energy   -4.644 eV/atom
Mass density   7.43 Mg/m³

a = 4.5522 Å, b = 4.6330 Å, c = 10.8213 Å
α = 90.00°, β = 90.00°, γ = 90.00°
Space group Cmmm (No. 65)
Asymmetric unit:
Al: 0.0000 0.0000 0.0000 x2
Al: 0.0000 0.5000 0.5000 x2
Sb: 0.0000 0.0000 0.3030 x4
Pd: 0.0000 0.5000 0.1296 x4


18.
## AlSbPd6 (PBE-GGA)

Data for AlSbPd6 after structural relaxation.

Calculated values
Formation energy without anion corrections   -339 meV/atom
Raw total energy   -5.217 eV/atom
Mass density   9.85 Mg/m³
Distance to the lowest polymorph of the same formula   0.1771 eV/atom

a = 5.1882 Å, b = 5.1964 Å, c = 5.2072 Å
α = 78.25°, β = 78.21°, γ = 78.67°
Space group P-1 (No. 2)
Asymmetric unit:
Al: 0.0000 0.0000 0.0000 x1
Sb: 0.5000 0.5000 0.5000 x1
Pd: 0.0054 0.2427 0.5214 x2
Pd: 0.2433 0.5209 0.0054 x2
Pd: 0.4830 0.9947 0.7563 x2


19.
## AlSbPd4 (PBE-GGA)

Data for AlSbPd4 after structural relaxation.

Calculated values
Formation energy without anion corrections   -631 meV/atom
Raw total energy   -5.404 eV/atom
Mass density   9.67 Mg/m³
Distance to the lowest polymorph of the same formula   0.0000 eV/atom

a = 7.0096 Å, b = 3.5024 Å, c = 16.0734 Å
α = 90.00°, β = 90.00°, γ = 90.00°
Space group Pnma (No. 62)
Asymmetric unit:
Al: 0.2471 0.2500 0.0559 x4
Sb: 0.2457 0.2500 0.8133 x4
Pd: 0.0071 0.7500 0.4334 x4
Pd: 0.0604 0.7500 0.7062 x4
Pd: 0.1224 0.7500 0.1559 x4
Pd: 0.1289 0.7500 0.9491 x4


20.
## AlSb2Pd (PBE-GGA)

Data for AlSb2Pd after structural relaxation.

Calculated values
Formation energy without anion corrections   -29 meV/atom
Raw total energy   -4.325 eV/atom
Mass density   5.55 Mg/m³

a = 5.6980 Å, b = 5.6980 Å, c = 13.9008 Å
α = 90.00°, β = 90.00°, γ = 90.00°
Space group I-42d (No. 122)
Asymmetric unit:
Al: 0.0000 0.0000 0.0000 x4
Sb: 0.2296 0.2500 0.6250 x8
Pd: 0.0000 0.0000 0.5000 x4